Crystalline AcInHg2Pd4 at its relaxed geometry, computed with PBE.

Calculated values
Its space-group type is No. 166. Its calculated total energy is -3.985 eV per atom. The formation energy comes out at -0.457 eV/atom. The density of states at the Fermi level comes out at 0.55 states/eV per atom.

Unit cell a=4.6822 b=4.6822 c=9.2370 alpha=75.32 beta=75.32 gamma=60.00
Fractional positions:
Pd1 0.8702 0.8702 0.3894
Pd2 0.1298 0.1298 0.6106
Pd3 0.3983 0.3983 0.8052
Pd4 0.6017 0.6017 0.1948
In1 0.5000 0.5000 0.5000
Ac1 0.0000 0.0000 0.0000
Hg1 0.7558 0.7558 0.7326
Hg2 0.2442 0.2442 0.2674


Crystalline AcInHgPd2 at its relaxed geometry, computed with PBE.

Calculated values
Its space-group type is No. 67. Its calculated total energy is -4.016 eV per atom. The formation energy comes out at -0.510 eV/atom. The density of states at the Fermi level comes out at 0.62 states/eV per atom.

Unit cell a=6.1020 b=6.0009 c=7.4069 alpha=113.90 beta=90.00 gamma=90.00
Fractional positions:
Pd1 0.7007 0.6513 0.3027
Pd2 0.7007 0.8487 0.6973
Pd3 0.2993 0.1513 0.3027
Pd4 0.2993 0.3487 0.6973
Ac1 0.2368 0.7500 0.5000
Ac2 0.7632 0.2500 0.5000
In1 0.5000 0.2500 0.0000
In2 0.5000 0.7500 0.0000
Hg1 0.0000 0.0000 0.0000
Hg2 0.0000 0.5000 0.0000


Crystalline Ac2InHg3Pd6 at its relaxed geometry, computed with PBE.

Calculated values
Its space-group type is No. 123. Its calculated total energy is -3.936 eV per atom. The formation energy comes out at -0.351 eV/atom. The density of states at the Fermi level comes out at 0.44 states/eV per atom.

Unit cell a=4.1720 b=4.1720 c=17.7943 alpha=90.00 beta=90.00 gamma=90.00
Fractional positions:
Ac1 0.5000 0.5000 0.2011
Ac2 0.5000 0.5000 0.7989
Pd1 0.0000 0.5000 0.5960
Pd2 0.0000 0.0000 0.1493
Pd3 0.0000 0.5000 0.4040
Pd4 0.0000 0.0000 0.8507
Pd5 0.5000 0.0000 0.5960
Pd6 0.5000 0.0000 0.4040
In1 0.5000 0.5000 0.5000
Hg1 0.0000 0.0000 0.0000
Hg2 0.0000 0.0000 0.6973
Hg3 0.0000 0.0000 0.3027


Crystalline AcInHgPd at its relaxed geometry, computed with PBE.

Calculated values
Its space-group type is No. 216. Its calculated total energy is -3.586 eV per atom. The formation energy comes out at -0.501 eV/atom. The density of states at the Fermi level comes out at 1.01 states/eV per atom.

Unit cell a=5.2551 b=5.2551 c=5.2551 alpha=60.00 beta=60.00 gamma=60.00
Fractional positions:
Ac1 0.5000 0.5000 0.5000
In1 0.0000 0.0000 0.0000
Hg1 0.7500 0.7500 0.7500
Pd1 0.2500 0.2500 0.2500